# 1
A plane-wave DFT calculation with GGA-PBE was carried out for a relaxed structure of In16Ga12Ag.

Results
The value obtained for the size of the total moment is 0.0 μB per formula unit. As for the total energy: -82.1 eV/cell. Its symmetry is Cm, No. 8.

Unit cell a=9.2356 b=9.2356 c=9.2695 alpha=106.11 beta=106.11 gamma=103.69
Closest atoms and distances in Å follow each position.
Positions (direct):
In 0.0000 0.0000 0.0000  6 In 3.07-3.32, 4 Ga 3.30-3.31
In 0.0027 0.0027 0.6433  6 Ga 3.11-3.29, 4 In 3.14-3.34
In 0.0536 0.3561 0.6606  1 Ag 3.01, 4 In 3.11-3.27, 2 Ga 3.23-3.32
In 0.0661 0.3405 0.9957  3 Ga 2.92-3.05, 3 In 3.07-3.20
In 0.1092 0.7017 0.9873  4 Ga 2.96-3.21, 2 In 3.13-3.29
In 0.1402 0.3654 0.3614  4 Ga 3.07-3.43, 3 In 3.11-3.27, 1 Ag 3.23
In 0.3405 0.0661 0.9957  3 Ga 2.92-3.05, 3 In 3.07-3.20
In 0.3524 0.7423 0.3594  8 Ga 3.17-3.45, 4 In 3.39-3.49
In 0.3547 0.7252 0.7310  4 Ga 2.96-3.25, 1 Ag 3.09, 1 In 3.27
In 0.3561 0.0536 0.6606  1 Ag 3.01, 4 In 3.11-3.27, 2 Ga 3.23-3.32
In 0.3654 0.1402 0.3614  4 Ga 3.07-3.43, 3 In 3.11-3.27, 1 Ag 3.23
In 0.7017 0.1092 0.9873  4 Ga 2.96-3.21, 2 In 3.13-3.29
In 0.7071 0.7071 0.3234  12 Ga 3.14-3.41, 4 In 3.34-3.46
In 0.7112 0.7112 0.9625  4 In 3.16-3.45, 9 Ga 3.16-3.51, 1 Ag 3.32
In 0.7252 0.3547 0.7310  4 Ga 2.96-3.25, 1 Ag 3.09, 1 In 3.27
In 0.7423 0.3524 0.3594  8 Ga 3.17-3.45, 4 In 3.39-3.49
Ga 0.0485 0.6640 0.4745  3 Ga 2.74-2.80, 1 In 2.96
Ga 0.0595 0.8700 0.3029  3 Ga 2.75-2.95
Ga 0.3662 0.5583 0.9871  3 Ga 2.79-2.83, 1 Ag 2.82, 2 In 2.98-3.05
Ga 0.4036 0.4036 0.2117  3 Ga 2.73-2.83, 2 In 3.02
Ga 0.5210 0.8888 0.1412  3 Ga 2.78-2.95, 1 In 2.92
Ga 0.5477 0.5477 0.5392  1 Ag 2.71, 3 Ga 2.73-2.78
Ga 0.5583 0.3662 0.9871  3 Ga 2.79-2.83, 1 Ag 2.82, 2 In 2.98-3.05
Ga 0.6640 0.0485 0.4745  3 Ga 2.74-2.80, 1 In 2.96
Ga 0.6735 0.8810 0.6766  3 Ga 2.74-3.01, 1 In 2.96
Ga 0.8700 0.0595 0.3029  3 Ga 2.75-2.95
Ga 0.8810 0.6735 0.6766  3 Ga 2.74-3.01, 1 In 2.96
Ga 0.8888 0.5210 0.1412  3 Ga 2.78-2.95, 1 In 2.92
Ag 0.3963 0.3963 0.6960  3 Ga 2.71-2.82, 2 In 3.01



# 2
A plane-wave DFT calculation with GGA-PBE was carried out for a relaxed structure of In5GaAg.

Results
The value obtained for the size of the total moment is 0.0 μB per formula unit. As for the total energy: -38.6 eV/cell. Its symmetry is C2/c, No. 15.

Unit cell a=8.8633 b=8.8633 c=6.2485 alpha=105.95 beta=105.95 gamma=48.04
Closest atoms and distances in Å follow each position.
Positions (direct):
In 0.0678 0.2889 0.8607  2 Ga 2.87-3.00, 1 Ag 2.92, 1 In 3.17
In 0.1584 0.8416 0.7500  3 Ag 2.89-3.18, 2 In 3.20
In 0.2889 0.0678 0.3607  2 Ga 2.87-3.00, 1 Ag 2.92, 1 In 3.17
In 0.3618 0.4107 0.8843  2 Ag 2.99-3.03, 3 In 3.14-3.20, 2 Ga 3.18-3.20
In 0.4107 0.3618 0.3843  2 Ag 2.99-3.03, 3 In 3.14-3.20, 2 Ga 3.18-3.20
In 0.5893 0.6382 0.6157  2 Ag 2.99-3.03, 3 In 3.14-3.20, 2 Ga 3.18-3.20
In 0.6382 0.5893 0.1157  2 Ag 2.99-3.03, 3 In 3.14-3.20, 2 Ga 3.18-3.20
In 0.7111 0.9322 0.6393  2 Ga 2.87-3.00, 1 Ag 2.92, 1 In 3.17
In 0.8416 0.1584 0.2500  3 Ag 2.89-3.18, 2 In 3.20
In 0.9322 0.7111 0.1393  2 Ga 2.87-3.00, 1 Ag 2.92, 1 In 3.17
Ga 0.0000 0.5000 0.5000  8 In 2.87-3.20
Ga 0.5000 0.0000 0.0000  8 In 2.87-3.20
Ag 0.2416 0.7584 0.2500  9 In 2.89-3.18
Ag 0.7584 0.2416 0.7500  9 In 2.89-3.18